No. 1
Y2TlSe | SCAN | single point on PBEsol structure

Values from the calculation:
- SG = I4/mmm (139)
- electronic total energy (eV/atom) = -37.90

CIF file:
```
data_Y2TlSe
_chemical_formula_sum 'Y2 Tl1 Se1'
_cell_length_a 4.968
_cell_length_b 5.265
_cell_length_c 4.968
_cell_angle_alpha 61.85
_cell_angle_beta 90.00
_cell_angle_gamma 118.15
_symmetry_space_group_name_H-M 'P 1'
_symmetry_Int_Tables_number 1
loop_
_symmetry_equiv_pos_as_xyz
'x,y,z'
loop_
_atom_site_label
_atom_site_fract_x
_atom_site_fract_y
_atom_site_fract_z
Tl1 0.000 0.000 0.000
Y1 0.750 0.500 0.750
Y2 0.250 0.500 0.250
Se1 0.500 0.000 0.500
```


No. 2
Be2SiPb | SCAN | single point on PBEsol structure

Values from the calculation:
- SG = I4/mmm (139)
- electronic total energy (eV/atom) = -22.78

CIF file:
```
data_Be2SiPb
_chemical_formula_sum 'Be2 Si1 Pb1'
_cell_length_a 4.167
_cell_length_b 4.685
_cell_length_c 4.167
_cell_angle_alpha 63.59
_cell_angle_beta 90.00
_cell_angle_gamma 116.41
_symmetry_space_group_name_H-M 'P 1'
_symmetry_Int_Tables_number 1
loop_
_symmetry_equiv_pos_as_xyz
'x,y,z'
loop_
_atom_site_label
_atom_site_fract_x
_atom_site_fract_y
_atom_site_fract_z
Si1 0.000 0.000 0.000
Be1 0.750 0.500 0.750
Pb1 0.500 0.000 0.500
Be2 0.250 0.500 0.250
```


No. 3
InHg2Pb2 | SCAN | single point on PBEsol structure

Values from the calculation:
- SG = P4/mbm (127)
- DFT formation energy (eV per formula unit) = 0.53

CIF file:
```
data_InHg2Pb2
_chemical_formula_sum 'In2 Hg4 Pb4'
_cell_length_a 3.689
_cell_length_b 8.623
_cell_length_c 8.623
_cell_angle_alpha 90.00
_cell_angle_beta 90.00
_cell_angle_gamma 90.00
_symmetry_space_group_name_H-M 'P 1'
_symmetry_Int_Tables_number 1
loop_
_symmetry_equiv_pos_as_xyz
'x,y,z'
loop_
_atom_site_label
_atom_site_fract_x
_atom_site_fract_y
_atom_site_fract_z
In1 0.000 0.000 0.000
Hg1 0.500 0.340 0.160
Pb1 0.000 0.141 0.359
Pb2 0.000 0.359 0.859
Hg2 0.500 0.840 0.340
Hg3 0.500 0.660 0.840
Pb3 0.000 0.859 0.641
Pb4 0.000 0.641 0.141
In2 0.000 0.500 0.500
Hg4 0.500 0.160 0.660
```


No. 4
Fe3PSe | SCAN | single point on PBEsol structure

Values from the calculation:
- SG = Pm-3m (221)
- electronic total energy (eV/atom) = -16.04

CIF file:
```
data_Fe3PSe
_chemical_formula_sum 'Fe3 P1 Se1'
_cell_length_a 4.316
_cell_length_b 4.316
_cell_length_c 4.316
_cell_angle_alpha 90.00
_cell_angle_beta 90.00
_cell_angle_gamma 90.00
_symmetry_space_group_name_H-M 'P 1'
_symmetry_Int_Tables_number 1
loop_
_symmetry_equiv_pos_as_xyz
'x,y,z'
loop_
_atom_site_label
_atom_site_fract_x
_atom_site_fract_y
_atom_site_fract_z
Fe1 0.000 0.000 0.500
Fe2 0.000 0.500 0.000
Fe3 0.500 0.000 0.000
P1 0.500 0.500 0.500
Se1 0.000 0.000 0.000
```


No. 5
Mg2Zn | SCAN | single point on PBEsol structure

Values from the calculation:
- SG = Cmcm (63)
- DFT formation energy (eV per formula unit) = -0.20

CIF file:
```
data_Mg2Zn
_chemical_formula_sum 'Mg4 Zn2'
_cell_length_a 3.691
_cell_length_b 4.585
_cell_length_c 6.971
_cell_angle_alpha 90.00
_cell_angle_beta 105.35
_cell_angle_gamma 90.00
_symmetry_space_group_name_H-M 'P 1'
_symmetry_Int_Tables_number 1
loop_
_symmetry_equiv_pos_as_xyz
'x,y,z'
loop_
_atom_site_label
_atom_site_fract_x
_atom_site_fract_y
_atom_site_fract_z
Mg1 0.741 0.750 0.482
Mg2 0.259 0.250 0.518
Zn1 0.914 0.250 0.829
Mg3 0.425 0.750 0.850
Zn2 0.086 0.750 0.171
Mg4 0.575 0.250 0.150
```


No. 6
BeInRe2 | SCAN | single point on PBEsol structure

Values from the calculation:
- SG = Cmmm (65)
- DFT formation energy (eV per formula unit) = 2.00

CIF file:
```
data_BeInRe2
_chemical_formula_sum 'Be1 In1 Re2'
_cell_length_a 2.719
_cell_length_b 2.719
_cell_length_c 8.309
_cell_angle_alpha 90.00
_cell_angle_beta 90.00
_cell_angle_gamma 109.94
_symmetry_space_group_name_H-M 'P 1'
_symmetry_Int_Tables_number 1
loop_
_symmetry_equiv_pos_as_xyz
'x,y,z'
loop_
_atom_site_label
_atom_site_fract_x
_atom_site_fract_y
_atom_site_fract_z
Re1 0.000 0.000 0.715
Re2 0.000 0.000 0.285
Be1 0.500 0.500 0.500
In1 0.500 0.500 0.000
```


No. 7
Nd2InCuS5 | SCAN | single point on PBEsol structure

Values from the calculation:
- SG = Pnma (62)
- electronic total energy (eV/atom) = -22.02

CIF file:
```
data_Nd2InCuS5
_chemical_formula_sum 'Nd8 In4 Cu4 S20'
_cell_length_a 3.860
_cell_length_b 11.419
_cell_length_c 16.452
_cell_angle_alpha 90.00
_cell_angle_beta 90.00
_cell_angle_gamma 90.00
_symmetry_space_group_name_H-M 'P 1'
_symmetry_Int_Tables_number 1
loop_
_symmetry_equiv_pos_as_xyz
'x,y,z'
loop_
_atom_site_label
_atom_site_fract_x
_atom_site_fract_y
_atom_site_fract_z
In1 0.250 0.193 0.363
Cu1 0.250 0.080 0.997
S1 0.750 0.761 0.230
S2 0.250 0.902 0.077
S3 0.750 0.317 0.614
S4 0.250 0.183 0.114
Cu2 0.750 0.420 0.497
S5 0.250 0.486 0.195
S6 0.250 0.239 0.770
S7 0.250 0.739 0.730
Cu3 0.750 0.920 0.003
In2 0.250 0.693 0.137
In3 0.750 0.807 0.637
Nd1 0.250 0.136 0.596
S8 0.750 0.261 0.270
S9 0.750 0.598 0.577
Nd2 0.250 0.636 0.904
S10 0.750 0.014 0.695
S11 0.750 0.817 0.886
Nd3 0.750 0.523 0.321
S12 0.250 0.402 0.423
S13 0.250 0.391 0.964
Nd4 0.750 0.364 0.096
Nd5 0.250 0.477 0.679
S14 0.750 0.609 0.036
Nd6 0.750 0.864 0.404
Nd7 0.750 0.023 0.179
Nd8 0.250 0.977 0.821
S15 0.250 0.891 0.536
S16 0.750 0.514 0.805
S17 0.750 0.109 0.464
In4 0.750 0.307 0.863
S18 0.250 0.986 0.305
Cu4 0.250 0.580 0.503
S19 0.250 0.683 0.386
S20 0.750 0.098 0.923
```


No. 8
Hg3As8S8Br6 | SCAN | single point on PBEsol structure

Values from the calculation:
- SG = P2_1/c (14)
- electronic total energy (eV/atom) = -22.66

CIF file:
```
data_Hg3As8S8Br6
_chemical_formula_sum 'Hg6 As16 S16 Br12'
_cell_length_a 8.687
_cell_length_b 10.959
_cell_length_c 14.410
_cell_angle_alpha 90.00
_cell_angle_beta 95.80
_cell_angle_gamma 90.00
_symmetry_space_group_name_H-M 'P 1'
_symmetry_Int_Tables_number 1
loop_
_symmetry_equiv_pos_as_xyz
'x,y,z'
loop_
_atom_site_label
_atom_site_fract_x
_atom_site_fract_y
_atom_site_fract_z
As1 0.040 0.807 0.528
As2 0.673 0.337 0.315
Br1 0.313 0.367 0.350
As3 0.960 0.307 0.972
Hg1 0.000 0.500 0.500
Br2 0.885 0.999 0.647
Br3 0.283 0.381 0.611
Br4 0.115 0.001 0.353
As4 0.040 0.693 0.028
Br5 0.885 0.501 0.147
S1 0.069 0.806 0.159
As5 0.278 0.943 0.554
Br6 0.717 0.881 0.889
Hg2 0.000 0.000 0.000
S2 0.931 0.194 0.841
S3 0.153 0.840 0.938
Br7 0.313 0.133 0.850
Br8 0.283 0.119 0.111
Hg3 0.662 0.634 0.200
As6 0.327 0.837 0.185
S4 0.367 0.630 0.201
S5 0.069 0.694 0.659
Br9 0.687 0.633 0.650
As7 0.722 0.443 0.946
As8 0.402 0.865 0.020
Br10 0.717 0.619 0.389
As9 0.278 0.557 0.054
Hg4 0.338 0.366 0.800
S6 0.553 0.168 0.520
S7 0.553 0.332 0.020
Br11 0.687 0.867 0.150
Br12 0.115 0.499 0.853
S8 0.847 0.160 0.062
S9 0.447 0.832 0.480
As10 0.722 0.057 0.446
S10 0.367 0.870 0.701
S11 0.633 0.130 0.299
As11 0.673 0.163 0.815
Hg5 0.662 0.866 0.700
S12 0.847 0.340 0.562
S13 0.447 0.668 0.980
As12 0.960 0.193 0.472
As13 0.598 0.135 0.980
As14 0.327 0.663 0.685
As15 0.598 0.365 0.480
S14 0.633 0.370 0.799
S15 0.931 0.306 0.341
As16 0.402 0.635 0.520
Hg6 0.338 0.134 0.300
S16 0.153 0.660 0.438
```


No. 9
CoAgTe | SCAN | single point on PBEsol structure

Values from the calculation:
- SG = F-43m (216)
- electronic total energy (eV/atom) = -28.20

CIF file:
```
data_CoAgTe
_chemical_formula_sum 'Co1 Ag1 Te1'
_cell_length_a 4.363
_cell_length_b 4.363
_cell_length_c 4.363
_cell_angle_alpha 60.00
_cell_angle_beta 60.00
_cell_angle_gamma 60.00
_symmetry_space_group_name_H-M 'P 1'
_symmetry_Int_Tables_number 1
loop_
_symmetry_equiv_pos_as_xyz
'x,y,z'
loop_
_atom_site_label
_atom_site_fract_x
_atom_site_fract_y
_atom_site_fract_z
Te1 0.250 0.250 0.250
Ag1 0.000 0.000 0.000
Co1 0.500 0.500 0.500
```


No. 10
Cs2MgH4 | SCAN | single point on PBEsol structure

Values from the calculation:
- SG = Pnma (62)
- electronic total energy (eV/atom) = -13.82

CIF file:
```
data_Cs2MgH4
_chemical_formula_sum 'Cs8 Mg4 H16'
_cell_length_a 6.423
_cell_length_b 8.464
_cell_length_c 11.319
_cell_angle_alpha 90.00
_cell_angle_beta 90.00
_cell_angle_gamma 90.00
_symmetry_space_group_name_H-M 'P 1'
_symmetry_Int_Tables_number 1
loop_
_symmetry_equiv_pos_as_xyz
'x,y,z'
loop_
_atom_site_label
_atom_site_fract_x
_atom_site_fract_y
_atom_site_fract_z
H1 0.750 0.690 0.427
H2 0.487 0.814 0.151
Mg1 0.250 0.233 0.419
H3 0.750 0.986 0.593
H4 0.750 0.486 0.907
Cs1 0.750 0.014 0.307
H5 0.250 0.014 0.407
H6 0.250 0.810 0.927
H7 0.487 0.314 0.349
H8 0.987 0.686 0.651
Cs2 0.250 0.986 0.693
H9 0.250 0.310 0.573
Mg2 0.750 0.767 0.581
Cs3 0.750 0.846 0.909
Cs4 0.250 0.486 0.807
Mg3 0.250 0.733 0.081
H10 0.513 0.686 0.651
H11 0.513 0.186 0.849
Mg4 0.750 0.267 0.919
H12 0.013 0.814 0.151
Cs5 0.250 0.154 0.091
Cs6 0.750 0.514 0.193
H13 0.750 0.190 0.073
H14 0.013 0.314 0.349
H15 0.987 0.186 0.849
Cs7 0.750 0.346 0.591
H16 0.250 0.514 0.093
Cs8 0.250 0.654 0.409
```